Entry 1:
A plane-wave DFT calculation with PBE was carried out for a relaxed structure of KMo.

Properties
Crystal system ... monoclinic
DOS at the Fermi energy ... 1.7 states/eV/f.u.
ΔE to the lowest computed polymorph ... 0.19 eV per formula unit
Total magnetization ... 0.00 μB/f.u.

```
KMo
1.0
3.300 0.000 0.000
0.000 3.372 0.011
0.000 3.117 11.050
Mo K
2 2
Cartesian
0.000 3.158 4.702 Mo
1.650 1.709 3.594 Mo
1.650 4.775 7.519 K
0.000 3.465 0.788 K
```

=====

Entry 2:
A plane-wave DFT calculation with PBE was carried out for a relaxed structure of K3Mo.

Properties
Crystal system ... trigonal
DOS at the Fermi energy ... 2.9 states/eV/f.u.
ΔE to the lowest computed polymorph ... 1.96 eV per formula unit
Total magnetization ... 4.77 μB/f.u.

```
K3Mo
1.0
13.995 -0.021 -0.012
13.372 4.126 -0.012
13.372 2.006 3.606
K Mo
3 1
Cartesian
10.854 1.628 0.954 K
29.886 4.484 2.628 K
20.370 3.056 1.791 K
0.000 0.000 0.000 Mo
```

=====

Entry 3:
A plane-wave DFT calculation with PBE was carried out for a relaxed structure of KMo.

Properties
Crystal system ... hexagonal
DOS at the Fermi energy ... 1.7 states/eV/f.u.
ΔE to the lowest computed polymorph ... 0.53 eV per formula unit
Total magnetization ... 0.00 μB/f.u.

```
KMo
1.0
2.076 -3.595 0.000
2.076 3.595 0.000
0.000 0.000 19.928
Mo K
4 4
Cartesian
2.076 -1.198 4.982 Mo
2.076 1.198 14.946 Mo
0.000 0.000 4.982 Mo
0.000 0.000 14.946 Mo
2.076 -1.198 17.763 K
2.076 1.198 7.799 K
2.076 1.198 2.165 K
2.076 -1.198 12.129 K
```

=====

Entry 4:
A plane-wave DFT calculation with PBE was carried out for a relaxed structure of K2Mo.

Properties
Crystal system ... trigonal
DOS at the Fermi energy ... 2.4 states/eV/f.u.
ΔE to the lowest computed polymorph ... 2.10 eV per formula unit
Total magnetization ... 4.70 μB/f.u.

```
K2Mo
1.0
-3.397 4.974 1.609
0.092 -1.927 -5.929
-2.843 -2.154 0.656
K Mo
2 1
Cartesian
-2.770 -0.913 -3.024 K
-3.379 1.807 -0.640 K
0.000 0.000 0.000 Mo
```

=====

Entry 5:
A plane-wave DFT calculation with PBE was carried out for a relaxed structure of KMo.

Properties
Crystal system ... orthorhombic
DOS at the Fermi energy ... 2.2 states/eV/f.u.
ΔE to the lowest computed polymorph ... 0.95 eV per formula unit
Total magnetization ... 0.37 μB/f.u.

```
KMo
1.0
-4.053 0.193 0.473
-0.771 -3.844 -5.045
0.535 -13.168 9.951
Mo K
6 6
Cartesian
-2.609 -2.809 -3.576 Mo
-0.540 -3.954 -3.018 Mo
0.079 -7.523 3.743 Mo
-1.905 -8.477 4.772 Mo
-0.090 -15.022 5.346 Mo
-1.990 -6.377 3.185 Mo
-2.119 -3.335 0.838 K
-2.333 -9.348 1.458 K
-1.785 -11.566 7.058 K
-0.210 -11.934 3.059 K
-0.411 -6.997 -0.672 K
-0.197 -0.984 -1.291 K
```

=====

Entry 6:
A plane-wave DFT calculation with PBE was carried out for a relaxed structure of KMo.

Properties
Crystal system ... tetragonal
DOS at the Fermi energy ... 1.9 states/eV/f.u.
ΔE to the lowest computed polymorph ... 1.05 eV per formula unit
Total magnetization ... 0.08 μB/f.u.

```
KMo
1.0
-11.319 4.590 -9.174
-3.606 -14.570 -2.842
-2.011 0.012 2.488
Mo K
8 8
Cartesian
-12.811 -7.250 -8.264 Mo
-10.581 -7.713 -8.516 Mo
-4.343 -2.267 -3.500 Mo
-10.217 0.594 -6.206 Mo
-4.125 -2.717 -1.264 Mo
-6.719 -10.561 -3.322 Mo
-5.354 -8.992 -4.284 Mo
-9.570 -0.988 -7.732 Mo
-12.680 -10.773 -8.140 K
-8.094 -9.172 -6.498 K
-12.957 0.414 -8.420 K
-10.713 -4.190 -8.640 K
-3.979 -10.381 -1.108 K
-4.212 -5.789 -3.376 K
-6.830 -0.807 -5.518 K
-4.256 0.806 -1.388 K
```

=====

Entry 7:
A plane-wave DFT calculation with PBE was carried out for a relaxed structure of KMo.

Properties
Crystal system ... trigonal
DOS at the Fermi energy ... 2.2 states/eV/f.u.
ΔE to the lowest computed polymorph ... 1.50 eV per formula unit
Total magnetization ... 0.00 μB/f.u.

```
KMo
1.0
6.492 0.001 0.001
5.862 2.790 0.001
5.862 1.324 2.455
K Mo
1 1
Cartesian
0.000 0.000 0.000 K
9.109 2.058 1.228 Mo
```

=====

Entry 8:
A plane-wave DFT calculation with PBE was carried out for a relaxed structure of K2Mo.

Properties
Crystal system ... orthorhombic
DOS at the Fermi energy ... 2.3 states/eV/f.u.
ΔE to the lowest computed polymorph ... 2.10 eV per formula unit
Total magnetization ... 4.68 μB/f.u.

```
K2Mo
1.0
6.784 0.004 0.004
3.297 5.929 -0.004
-4.293 -4.237 3.105
K Mo
2 1
Cartesian
3.455 2.033 0.000 K
6.626 3.900 0.000 K
0.000 0.000 0.000 Mo
```

=====

Entry 9:
A plane-wave DFT calculation with PBE was carried out for a relaxed structure of KMo.

Properties
Crystal system ... hexagonal
DOS at the Fermi energy ... 1.9 states/eV/f.u.
ΔE to the lowest computed polymorph ... 1.60 eV per formula unit
Total magnetization ... 0.52 μB/f.u.

```
KMo
1.0
-0.817 1.593 2.240
-0.409 -2.838 0.033
11.416 -1.582 5.290
K Mo
2 2
Cartesian
9.746 -1.329 6.336 K
4.174 -2.015 2.955 K
1.245 -0.151 2.397 Mo
7.089 -2.419 4.306 Mo
```

=====

Entry 10:
A plane-wave DFT calculation with PBE was carried out for a relaxed structure of KMo.

Properties
Crystal system ... cubic
DOS at the Fermi energy ... 1.1 states/eV/f.u.
ΔE to the lowest computed polymorph ... 3.16 eV per formula unit
Total magnetization ... 5.11 μB/f.u.

```
KMo
1.0
4.280 0.000 0.000
0.000 4.280 0.000
0.000 0.000 4.280
Mo K
1 1
Cartesian
2.140 2.140 2.140 Mo
0.000 0.000 0.000 K
```

=====

Entry 11:
A plane-wave DFT calculation with PBE was carried out for a relaxed structure of K5Mo3.

Properties
Raw total energy ... -3.22 eV/atom
Crystal system ... hexagonal
DOS at the Fermi energy ... 7.1 states/eV/f.u.
Total magnetization ... 7.39 μB/f.u.

```
K5Mo3
1.0
11.903 0.000 0.000
-5.952 10.308 0.000
0.000 0.000 5.119
Mo K
6 10
Cartesian
-3.111 5.388 1.280 Mo
-2.841 4.921 3.840 Mo
2.841 4.921 1.280 Mo
5.682 0.000 3.840 Mo
6.221 0.000 1.280 Mo
3.111 5.388 3.840 Mo
8.926 0.000 3.840 K
4.463 7.730 1.280 K
0.000 6.872 0.000 K
2.978 0.000 1.280 K
5.952 3.436 0.000 K
-1.489 2.579 1.280 K
1.489 2.579 3.840 K
5.952 3.436 2.560 K
0.000 6.872 2.560 K
-4.463 7.730 3.840 K
```

=====

Entry 12:
A plane-wave DFT calculation with PBE was carried out for a relaxed structure of K3Mo.

Properties
Crystal system ... hexagonal
DOS at the Fermi energy ... 2.6 states/eV/f.u.
ΔE to the lowest computed polymorph ... 1.68 eV per formula unit
Total magnetization ... 5.21 μB/f.u.

```
K3Mo
1.0
-3.639 7.487 -1.000
-4.548 -7.004 -0.741
-1.357 0.200 6.435
K Mo
6 2
Cartesian
-6.267 1.690 0.308 K
-4.139 4.966 0.655 K
-3.277 -1.007 4.386 K
-5.405 -4.283 4.039 K
-2.437 1.464 1.122 K
-7.107 -0.781 3.571 K
-4.584 -2.124 0.781 Mo
-4.960 2.807 3.913 Mo
```